Entry 1:
Ho3Ir | PBE-GGA | optimized geometry

```
4
Lattice="3.6140 0.0000 0.0000 0.0000 5.1883 0.0000 -1.8070 -2.5941 5.4422" Properties=species:S:1:pos:R:3 pbc="T T T"
Ir 0.0000 4.7561 0.0000
Ho 0.0000 2.1617 3.2933
Ho 1.8070 2.1617 0.0000
Ho 1.8070 -0.4324 2.1489
```

Properties
The energy of formation is -0.490 eV/atom.

---

Entry 2:
MgAg5Sn2 | PBE-GGA | optimized geometry

```
8
Lattice="-0.9286 -4.7861 3.7039 -1.8858 -3.2769 -4.8160 5.3389 2.7320 -0.1159" Properties=species:S:1:pos:R:3 pbc="T T T"
Mg 1.7455 -0.5767 -0.2983
Ag 3.9519 -1.6044 1.4954
Ag 4.4162 0.7884 -0.3565
Ag 3.0093 -3.2428 -0.9124
Ag 3.4735 -0.8498 -2.7643
Ag 0.3398 -4.6092 -0.8545
Sn 0.8040 -2.2159 -2.7063
Sn 1.2823 -2.9703 1.5533
```

Properties
The energy of formation is -0.056 eV/atom. The value obtained for the offset from the most stable computed form is 0.00 eV per formula unit.

---

Entry 3:
Ba3Zn2Cd | PBE-GGA | optimized geometry

```
6
Lattice="-4.1523 -0.0980 -0.2356 -0.1641 -1.9166 3.6887 -0.5868 11.0802 5.7311" Properties=species:S:1:pos:R:3 pbc="T T T"
Ba 0.0000 0.0000 0.0000
Ba -0.3963 7.4830 3.8705
Ba -0.1905 3.5972 1.8606
Zn -2.6493 8.2668 6.5235
Zn -2.2538 0.7987 2.6607
Cd -2.4516 4.5328 4.5921
```

Properties
The energy of formation is -0.212 eV/atom.

---

Entry 4:
GdLu2Zr | PBE-GGA | optimized geometry

```
4
Lattice="-4.5567 -0.6945 -1.3421 1.5101 -1.7384 -4.2276 0.1256 -4.4349 1.8685" Properties=species:S:1:pos:R:3 pbc="T T T"
Gd -2.2784 -0.3473 -0.6710
Lu 0.0628 -2.2174 0.9343
Lu 0.7551 -0.8692 -2.1138
Zr -1.4605 -3.4339 -1.8506
```

Properties
The energy of formation is 0.074 eV/atom.

---

Entry 5:
Ac2HgAsO6 | PBE-GGA | optimized geometry

```
10
Lattice="4.9481 0.0000 0.0000 0.0000 5.8479 0.0000 0.0000 0.0000 5.8479" Properties=species:S:1:pos:R:3 pbc="T T T"
Ac 0.0717 2.9240 0.0000
Ac 0.0717 0.0000 2.9240
Hg 2.5763 2.9240 2.9240
As 3.1061 0.0000 0.0000
O 3.6382 1.2393 1.2393
O 3.6382 1.2393 4.6087
O 0.2703 2.9240 2.9240
O 1.3539 0.0000 0.0000
O 3.6382 4.6087 4.6087
O 3.6382 4.6087 1.2393
```

Properties
The calculation puts the formation energy without anion corrections at -2.0262 eV per atom.

---

Entry 6:
BaCoAs2 | PBE-GGA | optimized geometry

```
4
Lattice="0.0000 3.5796 3.5796 3.5796 0.0000 3.5796 3.5796 3.5796 0.0000" Properties=species:S:1:pos:R:3 pbc="T T T"
As 1.7898 1.7898 1.7898
As 5.3694 5.3694 5.3694
Co 0.0000 0.0000 0.0000
Ba 3.5796 3.5796 3.5796
```

Properties
The energy of formation is 0.182 eV/atom.

---

Entry 7:
LaTb2Pr4Er | PBE-GGA | optimized geometry

```
8
Lattice="-2.9631 -1.3303 -1.7216 5.6309 1.1990 -10.6181 2.7859 -5.6486 -0.4303" Properties=species:S:1:pos:R:3 pbc="T T T"
La 4.1199 -5.7142 -6.6002
Tb 2.7859 -5.6486 -0.4304
Tb -0.0886 -3.4894 -1.0760
Pr 6.3277 -3.3219 -8.3241
Pr -0.8739 -2.4579 -4.4460
Pr 3.4427 -1.1794 -8.9388
Pr 2.0111 -4.6004 -3.8313
Er 4.2084 -2.2248 -5.5242
```

Properties
The energy of formation is 0.016 eV/atom.

---

Entry 8:
Ac4SbTe3 | PBE-GGA | optimized geometry

```
8
Lattice="6.7114 0.0000 0.0000 0.0000 6.7114 0.0000 0.0000 0.0000 6.7114" Properties=species:S:1:pos:R:3 pbc="T T T"
Ac 3.3557 0.0000 0.0000
Ac 0.0000 3.3557 0.0000
Ac 0.0000 0.0000 3.3557
Ac 3.3557 3.3557 3.3557
Sb 0.0000 0.0000 0.0000
Te 0.0000 3.3557 3.3557
Te 3.3557 0.0000 3.3557
Te 3.3557 3.3557 0.0000
```

Properties
The calculation puts the formation energy without anion corrections at -1.4529 eV per atom.